(1)
12
Lattice="8.690 0.000 0.000 0.000 4.205 0.000 -2.345 0.000 9.129" Properties=species:S:1:pos:R:3 comment="SrMnCuTe3 PBE optimized geometry" formation_energy_uncorrected_ev_per_atom=-0.607 magmom_total_mub_per_atom=0.676 space_group=P2_1/m dos_at_fermi_per_ev_cell=6.1 pbc="T T T"
Sr 1.022 1.051 2.298
Sr 5.324 3.154 6.831
Mn 0.874 3.154 7.731
Mn 5.472 1.051 1.399
Cu -0.774 1.051 5.270
Cu 7.119 3.154 3.859
Te -1.026 1.051 7.952
Te 0.862 3.154 4.945
Te 3.523 3.154 1.361
Te 2.823 1.051 7.768
Te 5.484 1.051 4.184
Te 7.372 3.154 1.177

(2)
28
Lattice="3.468 0.000 0.000 0.000 11.268 0.000 0.000 0.000 12.833" Properties=species:S:1:pos:R:3 comment="TiCrAgS4 PBE optimized geometry" formation_energy_uncorrected_ev_per_atom=-0.728 magmom_total_mub_per_atom=0.428 space_group=Pmn2_1 dos_at_fermi_per_ev_cell=9.2 polymorph_energy_ev_per_atom=0.093 pbc="T T T"
Ti 0.000 1.896 0.000
Ti 0.000 7.845 2.441
Ti 1.734 3.422 8.858
Ti 1.734 9.372 6.417
Cr 0.000 2.232 6.104
Cr 0.000 7.550 8.735
Cr 1.734 3.718 2.319
Cr 1.734 9.036 12.521
Ag 0.000 0.204 3.620
Ag 0.000 5.743 5.159
Ag 1.734 5.525 11.576
Ag 1.734 11.063 10.036
S 0.000 1.775 8.434
S 0.000 3.337 3.870
S 0.000 4.163 0.684
S 0.000 5.073 9.395
S 0.000 7.432 0.146
S 0.000 8.935 4.791
S 0.000 9.824 8.071
S 0.000 10.652 12.115
S 1.734 0.616 5.699
S 1.734 1.444 1.655
S 1.734 2.332 11.207
S 1.734 3.836 6.563
S 1.734 6.195 2.978
S 1.734 7.105 7.101
S 1.734 7.931 10.287
S 1.734 9.493 2.017